Entry 1:
{"formula": "Ca2Cu5Si3", "functional": "PBE", "state": "optimized geometry", "lattice": [[5.420, -0.007, 1.972], [2.900, 7.538, 0.425], [0.105, -0.304, 8.081]], "species": ["Ca", "Ca", "Ca", "Ca", "Cu", "Cu", "Cu", "Cu", "Cu", "Cu", "Cu", "Cu", "Cu", "Cu", "Si", "Si", "Si", "Si", "Si", "Si"], "frac_coords": [[0.256, 0.871, 0.619], [0.244, 0.381, 0.129], [0.744, 0.129, 0.381], [0.756, 0.619, 0.871], [0.361, 0.025, 0.254], [0.139, 0.746, 0.975], [0.639, 0.975, 0.746], [0.861, 0.254, 0.025], [0.250, 0.246, 0.754], [0.750, 0.754, 0.246], [0.250, 0.501, 0.499], [0.750, 0.499, 0.501], [0.250, 0.753, 0.247], [0.750, 0.247, 0.753], [0.126, 0.244, 0.503], [0.374, 0.497, 0.756], [0.874, 0.756, 0.497], [0.626, 0.503, 0.244], [0.250, 0.001, 0.999], [0.750, 0.999, 0.001]], "n_ef_per_ev_fu": 3.8, "polymorph_energy_ev_per_fu": 0.00, "e_form_raw_kcal_per_mol_atoms": -6.95, "rho_g_cm3": 4.89, "total_energy_ev_per_atom": -4.377, "m_tot_mub_per_cell": 0.000, "sg": "C2/c, No. 15"}

Entry 2:
{"formula": "GdInRu", "functional": "PBE", "state": "optimized geometry", "lattice": [[3.409, 0.000, 0.000], [0.000, 3.409, 0.000], [-1.704, -1.704, 5.557]], "species": ["Ru", "Gd", "In"], "frac_coords": [[0.673, 0.673, 0.347], [0.020, 0.020, 0.041], [0.306, 0.306, 0.613]], "n_ef_per_ev_fu": 1.3, "rho_g_cm3": 9.60, "formation_energy_ev_per_fu": -0.8, "total_energy_ev_per_atom": -8.958, "m_tot_mub_per_cell": 7.009, "sg": "I4mm, No. 107"}

Entry 3:
{"formula": "CoSiPt2", "functional": "PBE", "state": "optimized geometry", "lattice": [[2.822, 0.000, 0.000], [0.000, 2.822, 0.000], [0.000, 0.000, 6.733]], "species": ["Co", "Pt", "Pt", "Si"], "frac_coords": [[0.500, 0.500, 0.707], [0.000, 0.000, 0.975], [0.500, 0.500, 0.291], [0.000, 0.000, 0.528]], "n_ef_per_ev_fu": 3.9, "e_form_raw_kcal_per_mol_atoms": -7.42, "rho_g_cm3": 14.78, "total_energy_ev_per_atom": -6.474, "m_tot_mub_per_cell": 0.572, "sg": "P4mm, No. 99"}

Entry 4:
{"formula": "InMoPt", "functional": "PBE", "state": "optimized geometry", "lattice": [[-5.859, -0.357, 2.679], [-6.289, -1.441, 0.004], [-0.058, -2.701, 1.102]], "species": ["In", "Mo", "Pt"], "frac_coords": [[0.999, 0.999, 0.001], [0.323, 0.323, 0.677], [0.677, 0.677, 0.323]], "n_ef_per_ev_fu": 3.3, "rho_g_cm3": 12.94, "formation_energy_ev_per_fu": -0.2, "total_energy_ev_per_atom": -6.612, "m_tot_mub_per_cell": 0.001, "sg": "I4mm, No. 107"}

Entry 5:
{"formula": "Fe3Au", "functional": "PBE", "state": "optimized geometry", "lattice": [[-0.404, 3.989, -1.430], [-2.903, 2.594, 1.721], [1.240, 3.268, 2.430]], "species": ["Au", "Fe", "Fe", "Fe"], "frac_coords": [[0.000, 0.000, 0.000], [0.250, 0.250, 0.250], [0.500, 0.500, 0.500], [0.750, 0.750, 0.750]], "n_ef_per_ev_fu": 4.9, "rho_g_cm3": 11.10, "formation_energy_ev_per_fu": 0.8, "total_energy_ev_per_atom": -6.962, "m_tot_mub_per_cell": 8.312, "sg": "Fm-3m, No. 225"}

Entry 6:
{"formula": "Si2Pd2Rh", "functional": "PBE", "state": "optimized geometry", "lattice": [[-0.900, 0.521, 6.491], [6.325, -1.488, 0.997], [0.773, 3.187, -0.148]], "species": ["Si", "Si", "Si", "Si", "Rh", "Rh", "Pd", "Pd", "Pd", "Pd"], "frac_coords": [[0.352, 0.852, 0.000], [0.852, 0.648, 0.000], [0.648, 0.148, 0.000], [0.148, 0.352, 0.000], [0.000, 0.000, 0.000], [0.500, 0.500, 0.000], [0.149, 0.649, 0.500], [0.649, 0.851, 0.500], [0.851, 0.351, 0.500], [0.351, 0.149, 0.500]], "n_ef_per_ev_fu": 2.2, "e_form_raw_kcal_per_mol_atoms": -11.81, "rho_g_cm3": 8.71, "total_energy_ev_per_atom": -6.229, "m_tot_mub_per_cell": 0.000, "sg": "P4/mbm, No. 127"}

Entry 7:
{"formula": "Pr2Tm4Sc3", "functional": "PBE", "state": "optimized geometry", "lattice": [[5.653, 1.645, 1.178], [2.284, 10.671, 0.681], [2.284, 4.083, 9.882]], "species": ["Pr", "Pr", "Pr", "Pr", "Tm", "Tm", "Tm", "Tm", "Tm", "Tm", "Tm", "Tm", "Sc", "Sc", "Sc", "Sc", "Sc", "Sc"], "frac_coords": [[0.413, 0.236, 0.528], [0.087, 0.472, 0.764], [0.587, 0.764, 0.472], [0.913, 0.528, 0.236], [0.411, 0.914, 0.186], [0.089, 0.814, 0.086], [0.589, 0.086, 0.814], [0.911, 0.186, 0.914], [0.091, 0.145, 0.419], [0.409, 0.581, 0.855], [0.909, 0.855, 0.581], [0.591, 0.419, 0.145], [0.760, 0.065, 0.266], [0.740, 0.734, 0.935], [0.240, 0.935, 0.734], [0.260, 0.266, 0.065], [0.250, 0.605, 0.395], [0.750, 0.395, 0.605]], "n_ef_per_ev_fu": 12.2, "rho_g_cm3": 6.87, "formation_energy_ev_per_fu": 1.0, "total_energy_ev_per_atom": -5.047, "m_tot_mub_per_cell": 0.000, "sg": "C2/c, No. 15"}

Entry 8:
{"formula": "LaZr2BeAu", "functional": "PBE", "state": "optimized geometry", "lattice": [[-4.526, 1.973, 0.291], [-1.437, -3.614, 2.143], [1.189, 2.090, 4.322]], "species": ["Be", "Au", "Zr", "Zr", "La"], "frac_coords": [[0.000, 0.000, 0.000], [0.000, 0.500, 0.000], [0.000, 0.000, 0.500], [0.500, 0.000, 0.000], [0.500, 0.500, 0.500]], "n_ef_per_ev_fu": 6.2, "rho_g_cm3": 8.06, "formation_energy_ev_per_fu": 0.4, "total_energy_ev_per_atom": -5.716, "m_tot_mub_per_cell": 0.000, "sg": "P4/mmm, No. 123"}

Entry 9:
{"formula": "AcSiPt6Au", "functional": "PBE", "state": "optimized geometry", "lattice": [[6.951, 0.000, 0.000], [0.000, 9.148, 0.000], [-3.476, -4.574, 5.792]], "species": ["Ac", "Ac", "Si", "Si", "Pt", "Pt", "Pt", "Pt", "Pt", "Pt", "Pt", "Pt", "Pt", "Pt", "Pt", "Pt", "Au", "Au"], "frac_coords": [[0.827, 0.577, 0.654], [0.173, 0.423, 0.346], [0.500, 0.500, 0.000], [0.500, 0.000, 0.000], [0.428, 0.678, 0.855], [0.920, 0.170, 0.840], [0.886, 0.110, 0.240], [0.353, 0.630, 0.240], [0.353, 0.110, 0.240], [0.886, 0.630, 0.240], [0.572, 0.322, 0.145], [0.080, 0.830, 0.160], [0.114, 0.890, 0.760], [0.647, 0.370, 0.760], [0.647, 0.890, 0.760], [0.114, 0.370, 0.760], [0.500, 0.000, 0.500], [0.000, 0.000, 0.500]], "n_ef_per_ev_fu": 4.4, "e_form_raw_kcal_per_mol_atoms": -6.64, "rho_g_cm3": 14.63, "total_energy_ev_per_atom": -5.738, "m_tot_mub_per_cell": 0.000, "sg": "Imma, No. 74"}

Entry 10:
{"formula": "ZnMoBr2", "functional": "PBE", "state": "optimized geometry", "lattice": [[-3.062, 1.054, -1.283], [-2.473, -5.332, 1.524], [-1.077, 1.613, 3.896]], "species": ["Br", "Br", "Mo", "Zn"], "frac_coords": [[0.000, 0.000, 0.000], [0.500, 0.500, 0.000], [0.500, 0.000, 0.500], [0.000, 0.500, 0.500]], "n_ef_per_ev_fu": 1.6, "polymorph_energy_ev_per_fu": 2.45, "e_form_raw_kcal_per_mol_atoms": 13.63, "rho_g_cm3": 5.79, "total_energy_ev_per_atom": -3.272, "m_tot_mub_per_cell": 3.635, "sg": "Pmmm, No. 47"}

Entry 11:
{"formula": "BeZnSe2", "functional": "PBE", "state": "optimized geometry", "lattice": [[-4.167, 2.570, 4.368], [-6.128, 1.529, 1.777], [-0.758, -3.254, 1.881]], "species": ["Be", "Zn", "Se", "Se"], "frac_coords": [[0.305, 0.305, 0.305], [0.526, 0.526, 0.553], [0.953, 0.953, 0.110], [0.717, 0.717, 0.533]], "n_ef_per_ev_fu": 0.8, "polymorph_energy_ev_per_fu": 2.06, "e_form_raw_kcal_per_mol_atoms": -5.31, "rho_g_cm3": 4.69, "total_energy_ev_per_atom": -3.222, "m_tot_mub_per_cell": 0.000, "sg": "Cm, No. 8"}

Entry 12:
{"formula": "Ca3Ga2Pb2Au4", "functional": "PBE", "state": "optimized geometry", "lattice": [[4.690, 0.000, 0.000], [-2.345, 4.062, 0.000], [0.000, 0.000, 14.130]], "species": ["Ca", "Ca", "Ca", "Ga", "Ga", "Pb", "Pb", "Au", "Au", "Au", "Au"], "frac_coords": [[0.000, 0.000, 0.746], [0.000, 0.000, 0.000], [0.000, 0.000, 0.254], [0.667, 0.333, 0.856], [0.333, 0.667, 0.144], [0.667, 0.333, 0.436], [0.333, 0.667, 0.564], [0.667, 0.333, 0.127], [0.333, 0.667, 0.873], [0.667, 0.333, 0.660], [0.333, 0.667, 0.340]], "n_ef_per_ev_fu": 5.4, "rho_g_cm3": 9.02, "formation_energy_ev_per_fu": -6.1, "total_energy_ev_per_atom": -3.516, "m_tot_mub_per_cell": 0.000, "sg": "P-3m1, No. 164"}

Entry 13:
{"formula": "La12Tb5Pm2", "functional": "PBE", "state": "optimized geometry", "lattice": [[-10.201, 0.365, 3.614], [3.661, -6.965, -5.184], [2.181, -4.308, 6.591]], "species": ["La", "La", "La", "La", "La", "La", "La", "La", "La", "La", "La", "La", "Tb", "Tb", "Tb", "Tb", "Tb", "Pm", "Pm"], "frac_coords": [[0.871, 0.741, 0.104], [0.040, 0.634, 0.789], [0.594, 0.634, 0.789], [0.168, 0.786, 0.387], [0.618, 0.786, 0.387], [0.447, 0.895, 0.714], [0.553, 0.105, 0.286], [0.832, 0.214, 0.613], [0.382, 0.214, 0.613], [0.960, 0.366, 0.211], [0.406, 0.366, 0.211], [0.129, 0.259, 0.896], [0.242, 0.483, 0.515], [0.342, 0.683, 0.094], [0.000, 0.000, 0.500], [0.658, 0.317, 0.906], [0.758, 0.517, 0.485], [0.731, 0.000, 0.000], [0.269, 0.000, 0.000]], "n_ef_per_ev_fu": 29.6, "polymorph_energy_ev_per_fu": 0.60, "rho_g_cm3": 6.71, "formation_energy_ev_per_fu": 2.2, "total_energy_ev_per_atom": -4.713, "m_tot_mub_per_cell": 0.000, "sg": "C2/m, No. 12"}

Entry 14:
{"formula": "Nd2Sm3Y", "functional": "PBE", "state": "optimized geometry", "lattice": [[-6.468, -1.247, 1.666], [-7.619, -4.439, -5.357], [-4.239, -7.809, 5.244]], "species": ["Nd", "Nd", "Nd", "Nd", "Sm", "Sm", "Sm", "Sm", "Sm", "Sm", "Y", "Y"], "frac_coords": [[0.589, 0.597, 0.069], [0.911, 0.931, 0.403], [0.089, 0.069, 0.597], [0.411, 0.403, 0.931], [0.750, 0.734, 0.266], [0.250, 0.266, 0.734], [0.153, 0.670, 0.664], [0.347, 0.336, 0.330], [0.847, 0.330, 0.336], [0.653, 0.664, 0.670], [0.500, 0.000, 0.000], [0.000, 0.000, 0.000]], "n_ef_per_ev_fu": 10.2, "polymorph_energy_ev_per_fu": 0.67, "rho_g_cm3": 6.70, "formation_energy_ev_per_fu": 1.1, "total_energy_ev_per_atom": -4.851, "m_tot_mub_per_cell": 0.000, "sg": "C2/c, No. 15"}

Entry 15:
{"formula": "NaTl5In2Pb", "functional": "PBE", "state": "optimized geometry", "lattice": [[3.362, 0.000, 0.000], [-1.681, 9.845, 0.000], [0.000, 0.000, 16.130]], "species": ["Na", "Na", "Tl", "Tl", "Tl", "Tl", "Tl", "Tl", "Tl", "Tl", "Tl", "Tl", "In", "In", "In", "In", "Pb", "Pb"], "frac_coords": [[0.621, 0.241, 0.885], [0.379, 0.759, 0.385], [0.385, 0.770, 0.016], [0.786, 0.573, 0.866], [0.550, 0.100, 0.702], [0.374, 0.748, 0.707], [0.958, 0.917, 0.543], [0.615, 0.230, 0.516], [0.214, 0.427, 0.366], [0.450, 0.900, 0.202], [0.626, 0.252, 0.207], [0.042, 0.083, 0.043], [0.964, 0.929, 0.859], [0.203, 0.406, 0.703], [0.036, 0.071, 0.359], [0.797, 0.594, 0.203], [0.783, 0.565, 0.544], [0.217, 0.435, 0.044]], "n_ef_per_ev_fu": 4.4, "rho_g_cm3": 9.22, "formation_energy_ev_per_fu": -0.1, "total_energy_ev_per_atom": -2.489, "m_tot_mub_per_cell": 0.000, "sg": "Cmc2_1, No. 36"}

Entry 16:
{"formula": "Ni2MoCl", "functional": "PBE", "state": "optimized geometry", "lattice": [[-3.628, 2.211, -0.096], [-1.842, -3.031, -0.182], [-0.163, -0.113, 3.546]], "species": ["Cl", "Mo", "Ni", "Ni"], "frac_coords": [[0.500, 0.500, 0.000], [0.500, 0.000, 0.500], [0.000, 0.000, 0.000], [0.000, 0.500, 0.500]], "n_ef_per_ev_fu": 5.8, "polymorph_energy_ev_per_fu": 2.65, "e_form_raw_kcal_per_mol_atoms": 18.59, "rho_g_cm3": 7.71, "total_energy_ev_per_atom": -5.254, "m_tot_mub_per_cell": 0.007, "sg": "P4/mmm, No. 123"}

Entry 17:
{"formula": "RbAgGe2", "functional": "PBE", "state": "optimized geometry", "lattice": [[5.127, 0.000, 0.000], [0.000, 5.127, 0.000], [2.564, 2.564, 9.431]], "species": ["Ge", "Ge", "Ge", "Ge", "Rb", "Rb", "Ag", "Ag"], "frac_coords": [[0.869, 0.125, 0.250], [0.881, 0.625, 0.250], [0.375, 0.131, 0.750], [0.875, 0.119, 0.750], [0.500, 0.500, 0.000], [0.250, 0.750, 0.500], [0.000, 0.000, 0.000], [0.750, 0.250, 0.500]], "n_ef_per_ev_fu": 1.7, "polymorph_energy_ev_per_fu": 0.56, "rho_g_cm3": 4.54, "formation_energy_ev_per_fu": 0.6, "total_energy_ev_per_atom": -3.118, "m_tot_mub_per_cell": 0.000, "sg": "I-42d, No. 122"}

Entry 18:
{"formula": "SiGe2BRh", "functional": "PBE", "state": "optimized geometry", "lattice": [[-4.730, -0.497, -0.297], [0.188, -3.511, 2.876], [-0.545, 2.982, 3.677]], "species": ["Ge", "Ge", "B", "Rh", "Si"], "frac_coords": [[0.000, 0.000, 0.500], [0.500, 0.000, 0.000], [0.500, 0.500, 0.500], [0.000, 0.000, 0.000], [0.000, 0.500, 0.000]], "n_ef_per_ev_fu": 3.8, "e_form_raw_kcal_per_mol_atoms": 24.49, "rho_g_cm3": 4.62, "total_energy_ev_per_atom": -4.675, "m_tot_mub_per_cell": 0.000, "sg": "P4/mmm, No. 123"}

Entry 19:
{"formula": "Pu3InPt3", "functional": "PBE", "state": "optimized geometry", "lattice": [[4.436, 0.000, 0.000], [-2.218, 5.181, 0.000], [0.000, 0.000, 13.829]], "species": ["Pu", "Pu", "Pu", "Pu", "Pu", "Pu", "In", "In", "Pt", "Pt", "Pt", "Pt", "Pt", "Pt"], "frac_coords": [[0.191, 0.382, 0.893], [0.809, 0.618, 0.107], [0.191, 0.382, 0.607], [0.809, 0.618, 0.393], [0.455, 0.911, 0.750], [0.545, 0.089, 0.250], [0.500, 0.000, 0.000], [0.500, 0.000, 0.500], [0.900, 0.799, 0.902], [0.100, 0.201, 0.098], [0.900, 0.799, 0.598], [0.100, 0.201, 0.402], [0.728, 0.456, 0.750], [0.272, 0.544, 0.250]], "n_ef_per_ev_fu": 29.5, "rho_g_cm3": 14.96, "formation_energy_ev_per_fu": -4.8, "total_energy_ev_per_atom": -9.804, "m_tot_mub_per_cell": 33.194, "sg": "Cmcm, No. 63"}

Entry 20:
{"formula": "CsNb4I7", "functional": "PBE", "state": "optimized geometry", "lattice": [[-0.440, -4.839, -0.199], [6.333, -0.614, -4.246], [14.326, -2.195, 21.690]], "species": ["Cs", "Cs", "Nb", "Nb", "Nb", "Nb", "Nb", "Nb", "Nb", "Nb", "I", "I", "I", "I", "I", "I", "I", "I", "I", "I", "I", "I", "I", "I"], "frac_coords": [[0.548, 0.784, 0.500], [0.977, 0.214, 0.000], [0.462, 0.013, 0.829], [0.999, 0.929, 0.230], [0.527, 0.072, 0.270], [0.064, 0.988, 0.671], [0.064, 0.988, 0.329], [0.462, 0.013, 0.171], [0.999, 0.929, 0.770], [0.527, 0.072, 0.730], [0.981, 0.856, 0.121], [0.545, 0.143, 0.379], [0.469, 0.328, 0.878], [0.057, 0.672, 0.622], [0.057, 0.672, 0.378], [0.469, 0.328, 0.122], [0.504, 0.709, 0.758], [0.021, 0.292, 0.741], [0.021, 0.292, 0.259], [0.504, 0.709, 0.242], [0.496, 0.831, 0.000], [0.031, 0.168, 0.500], [0.981, 0.856, 0.879], [0.545, 0.143, 0.621]], "n_ef_per_ev_fu": 5.0, "e_form_raw_kcal_per_mol_atoms": -6.46, "rho_g_cm3": 4.77, "total_energy_ev_per_atom": -4.612, "m_tot_mub_per_cell": 0.000, "sg": "Pm, No. 6"}